# 1
Entry from the Alexandria database: crystalline LiCa2Hg at its relaxed geometry (GGA-PBE).

Properties
D(E_F): 3.110 states/eV/f.u.
Energy of formation: -5.931 kcal/mol of atoms
Calculated density: 4.2 g/cm³
Volume: 28.7 Å³/atom

Cell: 3.818 5.385 11.168 Å, 90.00 90.00 90.00°
Space group Imm2 (No. 44)
Symmetry-distinct sites (fractional):
Li 0.000 0.000 0.000 (multiplicity 2)
Ca 0.000 0.000 0.424 (multiplicity 2)
Ca 0.000 0.500 0.215 (multiplicity 2)
Hg 0.000 0.500 0.684 (multiplicity 2)

# 2
Entry from the Alexandria database: crystalline LiCaHg2 at its relaxed geometry (GGA-PBE).

Properties
D(E_F): 2.581 states/eV/f.u.
Energy of formation: -8.906 kcal/mol of atoms
Calculated density: 7.6 g/cm³
Volume: 24.3 Å³/atom

Cell: 3.711 5.099 5.145 Å, 90.00 90.00 90.00°
Space group Pmm2 (No. 25)
Symmetry-distinct sites (fractional):
Li 0.000 0.000 0.000 (multiplicity 1)
Ca 0.000 0.500 0.526 (multiplicity 1)
Hg 0.500 0.000 0.472 (multiplicity 1)
Hg 0.500 0.500 0.026 (multiplicity 1)